(1)
This record from the Alexandria database describes a relaxed Sm4Cd3In crystal. The functional is GGA-PBE.

a b c (Å): 3.8460 5.3816 10.7811
angles (deg): 90.00 90.00 90.00
Closest atoms and distances in Å follow each position.
Sites, in units of the cell vectors:
Sm (0.0000, 0.0000, 0.0000)  8 Cd 3.30-3.31
Sm (0.0000, 0.0000, 0.5000)  4 In 3.31, 4 Cd 3.32
Sm (0.0000, 0.5000, 0.2501)  6 Cd 3.31, 2 In 3.31
Sm (0.0000, 0.5000, 0.7499)  6 Cd 3.31, 2 In 3.31
Cd (0.5000, 0.0000, 0.2487)  8 Sm 3.30-3.32
Cd (0.5000, 0.0000, 0.7513)  8 Sm 3.30-3.32
Cd (0.5000, 0.5000, 0.0000)  8 Sm 3.31
In (0.5000, 0.5000, 0.5000)  8 Sm 3.31

Computed properties:
- E above lowest polymorph: 0 meV/atom
- Formation enthalpy at 0 K: -34.7 kJ per mole of atoms
- N(E_F): 10.5 states/eV/cell
- Space group: No. 47

(2)
This record from the Alexandria database describes a relaxed Sm6CdIn crystal. The functional is GGA-PBE.

a b c (Å): 4.9372 4.9372 9.8456
angles (deg): 90.00 90.00 90.00
Closest atoms and distances in Å follow each position.
Sites, in units of the cell vectors:
Sm (0.0000, 0.0000, 0.0000)  8 Sm 3.49, 4 Cd 3.49
Sm (0.0000, 0.0000, 0.5000)  8 Sm 3.48, 4 In 3.49
Sm (0.0000, 0.5000, 0.2504)  2 In 3.48, 8 Sm 3.48-3.49, 2 Cd 3.49
Sm (0.0000, 0.5000, 0.7496)  2 In 3.48, 8 Sm 3.48-3.49, 2 Cd 3.49
Sm (0.5000, 0.0000, 0.2504)  2 In 3.48, 8 Sm 3.48-3.49, 2 Cd 3.49
Sm (0.5000, 0.0000, 0.7496)  2 In 3.48, 8 Sm 3.48-3.49, 2 Cd 3.49
Cd (0.5000, 0.5000, 0.0000)  12 Sm 3.49
In (0.5000, 0.5000, 0.5000)  12 Sm 3.48-3.49

Computed properties:
- Formation enthalpy at 0 K: -17.7 kJ per mole of atoms
- N(E_F): 11.7 states/eV/cell
- Space group: No. 123

(3)
This record from the Alexandria database describes a relaxed SmCdIn6 crystal. The functional is GGA-PBE.

a b c (Å): 9.6976 9.7388 4.4130
angles (deg): 90.00 90.00 90.00
Closest atoms and distances in Å follow each position.
Sites, in units of the cell vectors:
Sm (0.0000, 0.0000, 0.0000)  12 In 3.35-3.44
Sm (0.5000, 0.5000, 0.0000)  12 In 3.35-3.44
Cd (0.0000, 0.5000, 0.0000)  12 In 3.21-3.44
Cd (0.5000, 0.0000, 0.0000)  12 In 3.21-3.44
In (0.0000, 0.2595, 0.5000)  2 Cd 3.22, 8 In 3.28-3.57, 2 Sm 3.35
In (0.0000, 0.7405, 0.5000)  2 Cd 3.22, 8 In 3.28-3.57, 2 Sm 3.35
In (0.2398, 0.5000, 0.5000)  2 Cd 3.21, 8 In 3.29-3.57, 2 Sm 3.35
In (0.2500, 0.2500, 0.0000)  8 In 3.28-3.29, 2 Cd 3.44, 2 Sm 3.44
In (0.2500, 0.7500, 0.0000)  8 In 3.28-3.29, 2 Cd 3.44, 2 Sm 3.44
In (0.2602, 0.0000, 0.5000)  2 Cd 3.21, 8 In 3.29-3.57, 2 Sm 3.35
In (0.5000, 0.2405, 0.5000)  2 Cd 3.22, 8 In 3.28-3.57, 2 Sm 3.35
In (0.5000, 0.7595, 0.5000)  2 Cd 3.22, 8 In 3.28-3.57, 2 Sm 3.35
In (0.7398, 0.0000, 0.5000)  2 Cd 3.21, 8 In 3.29-3.57, 2 Sm 3.35
In (0.7500, 0.2500, 0.0000)  8 In 3.28-3.29, 2 Cd 3.44, 2 Sm 3.44
In (0.7500, 0.7500, 0.0000)  8 In 3.28-3.29, 2 Cd 3.44, 2 Sm 3.44
In (0.7602, 0.5000, 0.5000)  2 Cd 3.21, 8 In 3.29-3.57, 2 Sm 3.35

Computed properties:
- Formation enthalpy at 0 K: -14.8 kJ per mole of atoms
- N(E_F): 9.6 states/eV/cell
- Space group: No. 65